[1]
A plane-wave DFT calculation with PBE was carried out for a relaxed Rb2CuWS4 crystal.

magnetic moment = 1.04 μB/f.u.
energy relative to the elements, uncorrected = -6.36 eV/f.u.

Unit cell a=5.529 b=7.498 c=12.314 alpha=85.25 beta=77.03 gamma=68.37
Each line ends with the local moment (μB).
Fractional coordinates of all 16 atoms:
Rb 0.928 0.500 0.144  0.00
Rb 0.822 0.000 0.356  0.00
Rb 0.178 0.000 0.644  0.00
Rb 0.572 0.500 0.856  0.00
S 0.532 0.311 0.607  0.02
S 0.218 0.189 0.893  0.02
S 0.593 0.189 0.107  0.02
S 0.861 0.689 0.607  0.02
S 0.300 0.811 0.107  0.02
S 0.157 0.311 0.393  0.02
S 0.889 0.811 0.893  0.02
S 0.450 0.689 0.393  0.02
Cu 0.000 0.000 0.000  0.02
Cu 0.750 0.500 0.500  0.02
W 0.500 0.000 0.000  0.65
W 0.250 0.500 0.500  0.65

[2]
A plane-wave DFT calculation with PBE was carried out for a relaxed Rb3CuW2S8 crystal.

magnetic moment = 0.00 μB/f.u.
energy relative to the elements, uncorrected = -10.71 eV/f.u.

Unit cell a=7.047 b=7.047 c=9.405 alpha=90.00 beta=90.00 gamma=120.00
Fractional coordinates of all 14 atoms:
S 0.333 0.667 0.016
S 0.676 0.838 0.327
S 0.162 0.838 0.327
S 0.667 0.333 0.984
S 0.162 0.324 0.327
S 0.324 0.162 0.673
S 0.838 0.162 0.673
S 0.838 0.676 0.673
Cu 0.000 0.000 0.500
Rb 0.000 0.000 0.000
Rb 0.333 0.667 0.655
Rb 0.667 0.333 0.345
W 0.667 0.333 0.752
W 0.333 0.667 0.248

[3]
A plane-wave DFT calculation with PBE was carried out for a relaxed Rb2YCu2S4 crystal.

magnetic moment = 0.00 μB/f.u.
energy relative to the elements, uncorrected = -10.11 eV/f.u.

Unit cell a=3.928 b=7.861 c=7.601 alpha=107.87 beta=104.98 gamma=90.00
Fractional coordinates of all 9 atoms:
S 0.524 0.776 0.048
S 0.201 0.160 0.402
S 0.476 0.224 0.952
S 0.799 0.840 0.598
Rb 0.132 0.555 0.265
Rb 0.868 0.445 0.735
Cu 0.320 0.014 0.639
Cu 0.680 0.986 0.361
Y 0.000 0.000 0.000

[4]
A plane-wave DFT calculation with PBE was carried out for a relaxed RbYCuS3 crystal.

magnetic moment = 0.00 μB/f.u.
energy relative to the elements, uncorrected = -7.60 eV/f.u.

Unit cell a=3.981 b=9.021 c=9.492 alpha=108.89 beta=90.00 gamma=90.00
Fractional coordinates of all 12 atoms:
Y 0.250 0.669 0.142
Y 0.750 0.331 0.858
Rb 0.750 0.797 0.763
Rb 0.250 0.203 0.237
S 0.750 0.466 0.159
S 0.250 0.534 0.841
S 0.250 0.122 0.858
S 0.250 0.823 0.457
S 0.750 0.878 0.142
S 0.750 0.177 0.543
Cu 0.750 0.917 0.393
Cu 0.250 0.083 0.607

Question: Which formula does entry 3 have?
Answer: Rb2YCu2S4

Question: What is the formula in the second record?
Answer: Rb3CuW2S8

Question: Look up the energy relative to the elements, uncorrected of the second one.
Answer: -10.71 eV/f.u.